No. 1
VASP calculation (PBE) on a relaxed structure of NiAuS2.

a b c (Å): 3.8700 3.8700 5.3964
angles (deg): 90.00 90.00 120.00
Last column: nearest neighbours and their distance in Å.
Positions (direct):
1 Ni 0.0000 0.0000 0.0000  4 S 2.13-2.26
2 Au 0.6667 0.3333 0.6211  6 S 2.55-2.80
3 S 0.0000 0.0000 0.3943  1 Ni 2.13
4 S 0.3333 0.6667 0.9348  3 Ni 2.26

Results
- Raw formation energy: 0.057 eV/atom
- Magnetic moment: 0.00 μB/cell
- Space group: P3m1



No. 2
VASP calculation (PBE) on a relaxed structure of NdDy2Se.

a b c (Å): 10.6936 10.6936 10.6936
angles (deg): 20.06 20.06 20.06
Last column: nearest neighbours and their distance in Å.
Positions (direct):
1 Nd 0.0000 0.0000 0.0000  2 Dy 3.44, 6 Nd 3.73
2 Dy 0.1094 0.1094 0.1094  3 Se 2.80
3 Dy 0.8906 0.8906 0.8906  3 Se 2.80
4 Se 0.5000 0.5000 0.5000  6 Dy 2.80

Results
- Raw formation energy: -0.579 eV/atom
- Relative energy among the computed polymorphs: 228 meV/atom
- Magnetic moment: 0.01 μB/cell
- Space group: R-3m



No. 3
VASP calculation (PBE) on a relaxed structure of Na8CdSn2.

a b c (Å): 8.4485 8.4485 5.9139
angles (deg): 101.32 101.32 113.25
Last column: nearest neighbours and their distance in Å.
Positions (direct):
1 Na 0.0717 0.3252 0.5963  2 Sn 3.16-3.17, 2 Na 3.45-3.53
2 Na 0.2371 0.7629 0.0000  2 Sn 3.15, 1 Cd 3.35, 2 Na 3.53
3 Na 0.3252 0.0717 0.5963  2 Sn 3.16-3.17, 2 Na 3.45-3.53
4 Na 0.3818 0.3818 0.1918  2 Sn 3.15, 1 Cd 3.32, 1 Na 3.52
5 Na 0.6182 0.6182 0.8082  2 Sn 3.15, 1 Cd 3.32, 1 Na 3.52
6 Na 0.6748 0.9283 0.4037  2 Sn 3.16-3.17, 2 Na 3.45-3.53
7 Na 0.7629 0.2371 0.0000  2 Sn 3.15, 1 Cd 3.35, 2 Na 3.53
8 Na 0.9283 0.6748 0.4037  2 Sn 3.16-3.17, 2 Na 3.45-3.53
9 Cd 0.0000 0.0000 0.0000  4 Na 3.32-3.35
10 Sn 0.3149 0.6851 0.5000  8 Na 3.15-3.17
11 Sn 0.6851 0.3149 0.5000  8 Na 3.15-3.17

Results
- Energy of formation: -0.0507 eV/atom
- Relative energy among the computed polymorphs: 0 meV/atom
- Magnetic moment: 0.00 μB/cell
- Space group: C2/m



No. 4
VASP calculation (PBE) on a relaxed structure of Ag2PW.

a b c (Å): 2.7473 2.7473 8.8218
angles (deg): 90.00 90.00 90.00
Last column: nearest neighbours and their distance in Å.
Positions (direct):
1 Ag 0.0000 0.0000 0.2475  4 Ag 2.75, 4 P 2.92, 4 W 2.96
2 Ag 0.0000 0.0000 0.7525  4 Ag 2.75, 4 P 2.92, 4 W 2.96
3 P 0.5000 0.5000 0.0000  4 P 2.75, 8 Ag 2.92
4 W 0.5000 0.5000 0.5000  4 W 2.75, 8 Ag 2.96

Results
- Energy of formation: 0.5735 eV/atom
- Magnetic moment: 0.00 μB/cell
- Space group: P4/mmm



No. 5
VASP calculation (PBE) on a relaxed structure of CaSi2Tc.

a b c (Å): 5.1809 5.1809 5.1809
angles (deg): 135.39 135.39 64.92
Last column: nearest neighbours and their distance in Å.
Positions (direct):
1 Ca 0.0000 0.0000 0.0000  8 Si 2.78-2.94, 4 Tc 2.94
2 Si 0.2500 0.7500 0.5000  4 Tc 2.78, 4 Si 2.94, 4 Ca 2.94
3 Si 0.5000 0.5000 0.0000  4 Ca 2.78, 4 Tc 2.94, 4 Si 2.94
4 Tc 0.7500 0.2500 0.5000  8 Si 2.78-2.94, 4 Ca 2.94

Results
- Raw formation energy: 0.268 eV/atom
- Relative energy among the computed polymorphs: 723 meV/atom
- Magnetic moment: 0.91 μB/cell
- Space group: I-4m2



No. 6
VASP calculation (PBE) on a relaxed structure of ScInGe2O.

a b c (Å): 5.4987 5.4987 3.8494
angles (deg): 90.00 90.00 90.00
Last column: nearest neighbours and their distance in Å.
Positions (direct):
1 Sc 0.0000 0.0000 0.0000  2 O 1.92
2 In 0.5000 0.5000 0.5000  8 Ge 3.36
3 Ge 0.0000 0.5000 0.0000  2 Sc 2.75
4 Ge 0.5000 0.0000 0.0000  2 Sc 2.75
5 O 0.0000 0.0000 0.5000  2 Sc 1.92

Results
- Raw formation energy: -0.428 eV/atom
- Magnetic moment: 0.00 μB/cell
- Space group: P4/mmm



No. 7
VASP calculation (PBE) on a relaxed structure of Sm2MgN.

a b c (Å): 10.2832 10.2832 5.1347
angles (deg): 90.00 90.00 160.29
Last column: nearest neighbours and their distance in Å.
Positions (direct):
1 Sm 0.1186 0.8814 0.7500  2 N 2.45
2 Sm 0.2884 0.7116 0.7500  4 N 2.48-2.57
3 Sm 0.7116 0.2884 0.2500  4 N 2.48-2.57
4 Sm 0.8814 0.1186 0.2500  2 N 2.45
5 Mg 0.4596 0.5404 0.7500  2 Mg 3.05
6 Mg 0.5404 0.4596 0.2500  2 Mg 3.05
7 N 0.2976 0.7024 0.2500  6 Sm 2.45-2.57
8 N 0.7024 0.2976 0.7500  6 Sm 2.45-2.57

Results
- Raw formation energy: -0.764 eV/atom
- Relative energy among the computed polymorphs: 0 meV/atom
- Magnetic moment: 0.00 μB/cell
- Space group: Cmcm



No. 8
VASP calculation (PBE) on a relaxed structure of Li5Hg4Bi.

a b c (Å): 3.4165 3.4165 16.8357
angles (deg): 90.00 90.00 90.00
Last column: nearest neighbours and their distance in Å.
Positions (direct):
1 Li 0.0000 0.0000 0.0000  8 Hg 2.89
2 Li 0.0000 0.0000 0.1925  8 Hg 2.87-2.93
3 Li 0.0000 0.0000 0.3849  4 Hg 2.95, 4 Bi 3.10, 1 Li 3.24
4 Li 0.0000 0.0000 0.6151  4 Hg 2.95, 4 Bi 3.10, 1 Li 3.24
5 Li 0.0000 0.0000 0.8075  8 Hg 2.87-2.93
6 Hg 0.5000 0.5000 0.0945  8 Li 2.89-2.93, 2 Hg 3.18-3.20
7 Hg 0.5000 0.5000 0.2845  8 Li 2.87-2.95, 1 Hg 3.20
8 Hg 0.5000 0.5000 0.7155  8 Li 2.87-2.95, 1 Hg 3.20
9 Hg 0.5000 0.5000 0.9055  8 Li 2.89-2.93, 2 Hg 3.18-3.20
10 Bi 0.5000 0.5000 0.5000  8 Li 3.10, 4 Bi 3.42

Results
- Energy of formation: -0.3690 eV/atom
- Magnetic moment: 0.00 μB/cell
- Space group: P4/mmm